Density functional theory data (PBE-GGA) for a relaxed DyHfNp2P4 crystal.

POSCAR file:
```
DyHfNp2P4
1.0
-3.7261 -0.8521 0.7071
1.1616 -6.4520 -1.6538
1.0605 0.8393 6.5995
P Np Hf Dy
4 2 1 1
Direct
0.5000 0.2381 0.2403
0.0000 0.7597 0.2468
0.5000 0.7619 0.7597
0.0000 0.2403 0.7532
0.0000 0.5000 0.5000
0.5000 0.0000 0.5000
0.0000 0.0000 0.0000
0.5000 0.5000 0.0000
```

The density is 9.3 Mg/m³. For the energy, the calculation gives -71.30 eV per cell. The total magnetization is 0.13 μB per cell. The crystal system is monoclinic. As for the space group: P2/m, No. 10.

---

Density functional theory data (PBE-GGA) for a relaxed BaSiHg crystal.

POSCAR file:
```
BaSiHg
1.0
4.5836 0.0000 0.0000
-2.2918 3.9695 0.0000
0.0000 0.0000 4.9547
Hg Si Ba
1 1 1
Direct
0.6667 0.3333 0.5003
0.3333 0.6667 0.4998
0.0000 0.0000 0.0000
```

The density is 6.7 Mg/m³. The value obtained for the formation energy (no corrections) is -35.0 kJ per mole of atoms. The total magnetization is 0.00 μB per cell. The crystal system is hexagonal. As for the space group: P-6m2, No. 187.

---

Density functional theory data (PBE-GGA) for a relaxed Sm2NiH crystal.

POSCAR file:
```
Sm2NiH
1.0
3.7219 0.0000 0.0000
1.8610 3.2233 0.0000
1.8610 1.0744 6.7754
H Sm Ni
1 2 1
Direct
0.5004 0.5004 0.4987
0.2492 0.2492 0.2525
0.0838 0.0838 0.7485
0.6666 0.6666 0.0003
```

The density is 7.4 Mg/m³. For the energy, the calculation gives -19.29 eV per cell. The total magnetization is 0.00 μB per cell. The crystal system is trigonal. As for the space group: R3m, No. 160.

---

Density functional theory data (PBE-GGA) for a relaxed MgTe2Cl crystal.

POSCAR file:
```
MgTe2Cl
1.0
6.1765 0.0053 0.0000
-3.5131 5.0801 0.0000
0.0000 0.0000 3.4456
Mg Te Cl
1 2 1
Direct
0.0000 0.5000 0.5000
0.5000 0.5000 0.0000
0.0000 0.0000 0.0000
0.5000 0.0000 0.5000
```

The density is 4.8 Mg/m³. The value obtained for the formation energy (no corrections) is -16.6 kJ per mole of atoms. The total magnetization is 0.00 μB per cell. The crystal system is orthorhombic. As for the space group: Cmmm, No. 65.

---

Respective DOS(E_F) values: 19.11 1.66 2.70 2.81 states/eV/cell.